1:
First-principles (SCAN) data for a PBEsol-optimized structure of MgInMo2, as listed in Alexandria via LeMat-Bulk.

POSCAR file:
```
MgInMo2
1.0
0.0000 3.2279 3.2279
3.2279 0.0000 3.2279
3.2279 3.2279 0.0000
Mg In Mo
1 1 2
direct
0.0000 0.0000 0.0000 Mg
0.2500 0.2500 0.2500 In
0.5000 0.5000 0.5000 Mo
0.7500 0.7500 0.7500 Mo
```

Total magnetic moment (μB per atom): 0.000
Crystal system: cubic

2:
First-principles (SCAN) data for a PBEsol-optimized structure of MgInMo2, as listed in Alexandria via LeMat-Bulk.

POSCAR file:
```
MgInMo2
1.0
1.4489 0.8365 9.5892
-1.4489 0.8365 9.5892
0.0000 -1.6730 9.5892
Mg In Mo
1 1 2
direct
0.0000 0.0000 0.0000 Mg
0.5000 0.5000 0.5000 In
0.2496 0.2496 0.2496 Mo
0.7504 0.7504 0.7504 Mo
```

Total magnetic moment (μB per atom): 0.000
Crystal system: trigonal

3:
First-principles (SCAN) data for a PBEsol-optimized structure of MgInMo2, as listed in Alexandria via LeMat-Bulk.

POSCAR file:
```
MgInMo2
1.0
3.5523 0.0000 0.0000
0.0000 3.5523 0.0000
0.0000 0.0000 5.8149
Mg In Mo
1 1 2
direct
0.0000 0.0000 0.0000 Mg
0.0000 0.0000 0.5000 In
0.5000 0.5000 0.2960 Mo
0.5000 0.5000 0.7040 Mo
```

Total magnetic moment (μB per atom): 0.000
Crystal system: tetragonal

Most stable structure - 1; separation to the second - 284 meV per atom.

1:
First-principles (SCAN) data for a PBEsol-optimized structure of Mg3InN, as listed in Alexandria via LeMat-Bulk.

POSCAR file:
```
Mg3InN
1.0
4.3586 0.0000 0.0000
0.0000 4.3586 0.0000
0.0000 0.0000 4.3586
Mg In N
3 1 1
direct
0.0000 0.0000 0.5000 Mg
0.0000 0.5000 0.0000 Mg
0.5000 0.0000 0.0000 Mg
0.5000 0.5000 0.5000 In
0.0000 0.0000 0.0000 N
```

Total magnetic moment (μB per atom): 0.000
Crystal system: cubic

2:
First-principles (SCAN) data for a PBEsol-optimized structure of Mg3InN, as listed in Alexandria via LeMat-Bulk.

POSCAR file:
```
Mg3InN
1.0
5.2401 0.0000 0.0000
0.0000 5.2401 0.0000
0.0000 0.0000 5.2401
Mg In N
3 1 1
direct
0.0000 0.0000 0.5000 Mg
0.0000 0.5000 0.0000 Mg
0.5000 0.0000 0.0000 Mg
0.0000 0.0000 0.0000 In
0.5000 0.5000 0.5000 N
```

Total magnetic moment (μB per atom): 0.400
Crystal system: cubic

Most stable structure - 1; separation to the second - 1559 meV per atom.

1:
First-principles (SCAN) data for a PBEsol-optimized structure of MgIn2Sb, as listed in Alexandria via LeMat-Bulk.

POSCAR file:
```
MgIn2Sb
1.0
0.0000 3.7081 3.7081
3.7081 0.0000 3.7081
3.7081 3.7081 0.0000
Mg In Sb
1 2 1
direct
0.0000 0.0000 0.0000 Mg
0.2500 0.2500 0.2500 In
0.7500 0.7500 0.7500 In
0.5000 0.5000 0.5000 Sb
```

Total magnetic moment (μB per atom): 0.000
Crystal system: cubic

2:
First-principles (SCAN) data for a PBEsol-optimized structure of MgIn2Sb, as listed in Alexandria via LeMat-Bulk.

POSCAR file:
```
MgIn2Sb
1.0
-2.0156 2.1571 5.8878
2.0156 -2.1571 5.8878
2.0156 2.1571 -5.8878
Mg In Sb
1 2 1
direct
0.0000 0.0000 0.0000 Mg
0.2910 0.7910 0.5000 In
0.7090 0.2090 0.5000 In
0.5000 0.5000 0.0000 Sb
```

Total magnetic moment (μB per atom): 0.000
Crystal system: orthorhombic

Most stable structure - 2; separation to the second - 148 meV per atom.

1:
First-principles (SCAN) data for a PBEsol-optimized structure of MgIn2Sb, as listed in Alexandria via LeMat-Bulk.

POSCAR file:
```
MgIn2Sb
1.0
4.3132 0.0000 0.0000
0.0000 4.3358 0.0000
0.0000 0.0000 5.3411
Mg In Sb
1 2 1
direct
0.0000 0.0000 0.0000 Mg
0.0000 0.5000 0.5000 In
0.5000 0.0000 0.5000 In
0.5000 0.5000 0.0000 Sb
```

Total magnetic moment (μB per atom): 0.000
Crystal system: orthorhombic

2:
First-principles (SCAN) data for a PBEsol-optimized structure of MgIn2Sb, as listed in Alexandria via LeMat-Bulk.

POSCAR file:
```
MgIn2Sb
1.0
3.4000 0.0000 0.0000
0.0000 3.4000 0.0000
0.0000 0.0000 8.5296
Mg In Sb
1 2 1
direct
0.0000 0.0000 0.0000 Mg
0.5000 0.5000 0.2376 In
0.5000 0.5000 0.7624 In
0.0000 0.0000 0.5000 Sb
```

Total magnetic moment (μB per atom): 0.000
Crystal system: tetragonal

Most stable structure - 1; separation to the second - 61 meV per atom.

1:
First-principles (SCAN) data for a PBEsol-optimized structure of MgInTc2, as listed in Alexandria via LeMat-Bulk.

POSCAR file:
```
MgInTc2
1.0
2.7624 0.0000 0.0000
0.0000 4.5063 0.0000
-0.9834 0.0000 5.2085
Mg In Tc
1 1 2
direct
0.0000 0.0000 0.0000 Mg
0.5000 0.0000 0.5000 In
0.2777 0.5000 0.7696 Tc
0.7223 0.5000 0.2304 Tc
```

Total magnetic moment (μB per atom): 0.000
Crystal system: monoclinic

2:
First-principles (SCAN) data for a PBEsol-optimized structure of MgInTc2, as listed in Alexandria via LeMat-Bulk.

POSCAR file:
```
MgInTc2
1.0
2.7403 0.0000 0.0000
0.0000 2.7403 0.0000
0.0000 0.0000 8.7268
Mg In Tc
1 1 2
direct
0.0000 0.0000 0.0000 Mg
0.0000 0.0000 0.5000 In
0.5000 0.5000 0.2492 Tc
0.5000 0.5000 0.7508 Tc
```

Total magnetic moment (μB per atom): 0.264
Crystal system: tetragonal

3:
First-principles (SCAN) data for a PBEsol-optimized structure of MgInTc2, as listed in Alexandria via LeMat-Bulk.

POSCAR file:
```
MgInTc2
1.0
2.9729 0.0000 0.0000
0.0000 2.9729 0.0000
0.0000 0.0000 7.7942
Mg In Tc
1 1 2
direct
0.0000 0.0000 0.0000 Mg
0.5000 0.5000 0.6862 In
0.0000 0.0000 0.4238 Tc
0.5000 0.5000 0.2448 Tc
```

Total magnetic moment (μB per atom): 0.000
Crystal system: tetragonal

Most stable structure - 3; separation to the second - 303 meV per atom.

1:
First-principles (SCAN) data for a PBEsol-optimized structure of MgIn2Te, as listed in Alexandria via LeMat-Bulk.

POSCAR file:
```
MgIn2Te
1.0
5.7201 -1.6140 0.0000
5.7201 1.6140 0.0000
-2.6224 0.0000 5.5935
Mg In Te
1 2 1
direct
0.0000 0.0000 0.0000 Mg
0.3305 0.3305 0.5401 In
0.5763 0.5763 0.4661 In
0.7299 0.7299 0.0070 Te
```

Total magnetic moment (μB per atom): 0.000
Crystal system: monoclinic

2:
First-principles (SCAN) data for a PBEsol-optimized structure of MgIn2Te, as listed in Alexandria via LeMat-Bulk.

POSCAR file:
```
MgIn2Te
1.0
3.9081 0.0000 0.0000
0.0000 3.9081 0.0000
0.0000 0.0000 6.7111
Mg In Te
1 2 1
direct
0.0000 0.0000 0.0000 Mg
0.5000 0.5000 0.2433 In
0.5000 0.5000 0.7567 In
0.0000 0.0000 0.5000 Te
```

Total magnetic moment (μB per atom): 0.000
Crystal system: tetragonal

3:
First-principles (SCAN) data for a PBEsol-optimized structure of MgIn2Te, as listed in Alexandria via LeMat-Bulk.

POSCAR file:
```
MgIn2Te
1.0
-2.1014 2.1696 5.7444
2.1014 -2.1696 5.7444
2.1014 2.1696 -5.7444
Mg In Te
1 2 1
direct
0.0000 0.0000 0.0000 Mg
0.2607 0.7607 0.5000 In
0.7393 0.2393 0.5000 In
0.5000 0.5000 0.0000 Te
```

Total magnetic moment (μB per atom): 0.000
Crystal system: orthorhombic

4:
First-principles (SCAN) data for a PBEsol-optimized structure of MgIn2Te, as listed in Alexandria via LeMat-Bulk.

POSCAR file:
```
MgIn2Te
1.0
0.0000 3.7292 3.7292
3.7292 0.0000 3.7292
3.7292 3.7292 0.0000
Mg In Te
1 2 1
direct
0.0000 0.0000 0.0000 Mg
0.2500 0.2500 0.2500 In
0.5000 0.5000 0.5000 In
0.7500 0.7500 0.7500 Te
```

Total magnetic moment (μB per atom): 0.000
Crystal system: cubic

Most stable structure - 3; separation to the second - 72 meV per atom.